1.
The following is a DFT calculation (PBE) of a geometry-optimized Mn2ZnGa2 structure.

CIF file:
```
data_Mn2ZnGa2
_cell_length_a 3.864
_cell_length_b 3.849
_cell_length_c 9.485
_cell_angle_alpha 90.00
_cell_angle_beta 90.54
_cell_angle_gamma 90.00
_symmetry_space_group_name_H-M 'C 1 2/m 1'
_symmetry_Int_Tables_number 12
_symmetry_space_group_name_Hall '-C 2y'
loop_
_atom_site_label
_atom_site_type_symbol
_atom_site_fract_x
_atom_site_fract_y
_atom_site_fract_z
_atom_site_occupancy
Mn1 Mn 0.249 0.000 0.432 1
Zn1 Zn 0.000 0.000 0.000 1
Ga1 Ga 0.235 0.500 0.248 1
```

Output
Density of states at the Fermi level = 5.65 states/eV/cell
Calculated formation energy = -0.041 eV per atom
Theoretical density = 7.4 g/cm3
Raw total energy = -5.175 eV/atom
Excess energy over the best structure of this formula in the dataset = 0.00 kcal/mol of atoms
Total moment = 0.00 Bohr magnetons per cell

2.
The following is a DFT calculation (PBE) of a geometry-optimized LiCd2GePd2 structure.

CIF file:
```
data_LiCd2GePd2
_cell_length_a 4.458
_cell_length_b 8.266
_cell_length_c 5.565
_cell_angle_alpha 90.00
_cell_angle_beta 90.00
_cell_angle_gamma 90.00
_symmetry_space_group_name_H-M 'P m c 21'
_symmetry_Int_Tables_number 26
_symmetry_space_group_name_Hall 'P 2c -2'
loop_
_atom_site_label
_atom_site_type_symbol
_atom_site_fract_x
_atom_site_fract_y
_atom_site_fract_z
_atom_site_occupancy
Li1 Li 0.000 0.000 0.000 1
Cd1 Cd 0.000 0.325 0.323 1
Cd2 Cd 0.500 0.475 0.057 1
Ge1 Ge 0.500 0.168 0.723 1
Pd1 Pd 0.000 0.309 0.816 1
Pd2 Pd 0.500 0.132 0.224 1
```

Output
Density of states at the Fermi level = 3.06 states/eV/cell
Calculated formation energy = -0.362 eV per atom
Theoretical density = 8.4 g/cm3
Raw total energy = -3.487 eV/atom
Total moment = 0.00 Bohr magnetons per cell

3.
The following is a DFT calculation (PBE) of a geometry-optimized PrHoMo2N6 structure.

CIF file:
```
data_PrHoMo2N6
_cell_length_a 11.387
_cell_length_b 9.745
_cell_length_c 6.474
_cell_angle_alpha 90.00
_cell_angle_beta 113.47
_cell_angle_gamma 90.00
_symmetry_space_group_name_H-M 'C 1 2/c 1'
_symmetry_Int_Tables_number 15
_symmetry_space_group_name_Hall '-C 2yc'
loop_
_atom_site_label
_atom_site_type_symbol
_atom_site_fract_x
_atom_site_fract_y
_atom_site_fract_z
_atom_site_occupancy
Pr1 Pr 0.000 0.094 0.250 1
Ho1 Ho 0.000 0.293 0.750 1
Mo1 Mo 0.210 0.413 0.209 1
N1 N 0.114 0.116 0.666 1
N2 N 0.127 0.253 0.144 1
N3 N 0.151 0.485 0.913 1
```

Output
Formation energy (no corrections) = -81 kJ/mol of atoms
Density of states at the Fermi level = 0.00 states/eV/cell
Theoretical density = 5.9 g/cm3
Raw total energy = -8.939 eV/atom
Total moment = 0.00 Bohr magnetons per cell

4.
The following is a DFT calculation (PBE) of a geometry-optimized InIr2F structure.

CIF file:
```
data_InIr2F
_cell_length_a 6.277
_cell_length_b 6.277
_cell_length_c 6.277
_cell_angle_alpha 90.00
_cell_angle_beta 90.00
_cell_angle_gamma 90.00
_symmetry_space_group_name_H-M 'F m -3 m'
_symmetry_Int_Tables_number 225
_symmetry_space_group_name_Hall '-F 4 2 3'
loop_
_atom_site_label
_atom_site_type_symbol
_atom_site_fract_x
_atom_site_fract_y
_atom_site_fract_z
_atom_site_occupancy
In1 In 0.000 0.000 0.000 1
Ir1 Ir 0.250 0.250 0.250 1
F1 F 0.000 0.000 0.500 1
```

Output
Formation energy (no corrections) = 39 kJ/mol of atoms
Density of states at the Fermi level = 27.06 states/eV/cell
Theoretical density = 13.9 g/cm3
Raw total energy = -5.181 eV/atom
Excess energy over the best structure of this formula in the dataset = 10.50 kcal/mol of atoms
Total moment = 3.47 Bohr magnetons per cell

5.
The following is a DFT calculation (PBE) of a geometry-optimized Na2PbBr4 structure.

CIF file:
```
data_Na2PbBr4
_cell_length_a 8.554
_cell_length_b 12.327
_cell_length_c 4.372
_cell_angle_alpha 90.00
_cell_angle_beta 90.00
_cell_angle_gamma 90.00
_symmetry_space_group_name_H-M 'C m m m'
_symmetry_Int_Tables_number 65
_symmetry_space_group_name_Hall '-C 2 2'
loop_
_atom_site_label
_atom_site_type_symbol
_atom_site_fract_x
_atom_site_fract_y
_atom_site_fract_z
_atom_site_occupancy
Na1 Na 0.250 0.250 0.000 1
Pb1 Pb 0.000 0.000 0.500 1
Br1 Br 0.000 0.247 0.500 1
Br2 Br 0.249 0.000 0.000 1
```

Output
Formation energy (no corrections) = -124 kJ/mol of atoms
Density of states at the Fermi level = 0.00 states/eV/cell
Theoretical density = 4.1 g/cm3
Raw total energy = -3.143 eV/atom
Excess energy over the best structure of this formula in the dataset = 0.00 kcal/mol of atoms
Total moment = 0.00 Bohr magnetons per cell

6.
The following is a DFT calculation (PBE) of a geometry-optimized ThAg2Cl6 structure.

CIF file:
```
data_ThAg2Cl6
_cell_length_a 6.875
_cell_length_b 6.884
_cell_length_c 13.686
_cell_angle_alpha 90.00
_cell_angle_beta 117.55
_cell_angle_gamma 90.00
_symmetry_space_group_name_H-M 'P 1 21/c 1'
_symmetry_Int_Tables_number 14
_symmetry_space_group_name_Hall '-P 2ybc'
loop_
_atom_site_label
_atom_site_type_symbol
_atom_site_fract_x
_atom_site_fract_y
_atom_site_fract_z
_atom_site_occupancy
Th1 Th 0.000 0.000 0.000 1
Ag1 Ag 0.419 0.154 0.844 1
Cl1 Cl 0.045 0.178 0.836 1
Cl2 Cl 0.240 0.698 0.992 1
Cl3 Cl 0.375 0.173 0.156 1
```

Output
Formation energy (no corrections) = -134 kJ/mol of atoms
Density of states at the Fermi level = 0.00 states/eV/cell
Theoretical density = 3.8 g/cm3
Raw total energy = -4.079 eV/atom
Excess energy over the best structure of this formula in the dataset = 0.00 kcal/mol of atoms
Total moment = 0.00 Bohr magnetons per cell

7.
The following is a DFT calculation (PBE) of a geometry-optimized Pm2Er3Th3 structure.

CIF file:
```
data_Pm2Er3Th3
_cell_length_a 9.0725
_cell_length_b 9.0725
_cell_length_c 3.6388
_cell_angle_alpha 90.00
_cell_angle_beta 90.00
_cell_angle_gamma 120.00
_symmetry_space_group_name_H-M 'P -6 2 m'
_symmetry_Int_Tables_number 189
_symmetry_space_group_name_Hall 'P -6 -2'
loop_
_atom_site_label
_atom_site_type_symbol
_atom_site_fract_x
_atom_site_fract_y
_atom_site_fract_z
_atom_site_occupancy
Pm1 Pm 0.3333 0.6667 0.0000 1
Er1 Er 0.0000 0.6052 0.5000 1
Th1 Th 0.0000 0.2265 0.0000 1
```

Output
Density of states at the Fermi level = 10.91 states/eV/cell
Calculated formation energy = 0.156 eV per atom
Theoretical density = 9.5 g/cm3
Raw total energy = -5.525 eV/atom
Total moment = 0.00 Bohr magnetons per cell

8.
The following is a DFT calculation (PBE) of a geometry-optimized Ba2Ta2Nb structure.

CIF file:
```
data_Ba2Ta2Nb
_cell_length_a 4.243
_cell_length_b 4.243
_cell_length_c 15.599
_cell_angle_alpha 90.00
_cell_angle_beta 90.00
_cell_angle_gamma 90.00
_symmetry_space_group_name_H-M 'I 4/m m m'
_symmetry_Int_Tables_number 139
_symmetry_space_group_name_Hall '-I 4 2'
loop_
_atom_site_label
_atom_site_type_symbol
_atom_site_fract_x
_atom_site_fract_y
_atom_site_fract_z
_atom_site_occupancy
Ba1 Ba 0.000 0.500 0.250 1
Ta1 Ta 0.000 0.000 0.074 1
Nb1 Nb 0.000 0.000 0.500 1
```

Output
Density of states at the Fermi level = 14.57 states/eV/cell
Calculated formation energy = 1.569 eV per atom
Theoretical density = 8.6 g/cm3
Raw total energy = -5.955 eV/atom
Excess energy over the best structure of this formula in the dataset = 12.12 kcal/mol of atoms
Total moment = 0.00 Bohr magnetons per cell

9.
The following is a DFT calculation (PBE) of a geometry-optimized Ga2Si2Pb structure.

CIF file:
```
data_Ga2Si2Pb
_cell_length_a 7.973
_cell_length_b 7.973
_cell_length_c 3.140
_cell_angle_alpha 90.00
_cell_angle_beta 90.00
_cell_angle_gamma 90.00
_symmetry_space_group_name_H-M 'P 4/m b m'
_symmetry_Int_Tables_number 127
_symmetry_space_group_name_Hall '-P 4 2ab'
loop_
_atom_site_label
_atom_site_type_symbol
_atom_site_fract_x
_atom_site_fract_y
_atom_site_fract_z
_atom_site_occupancy
Ga1 Ga 0.150 0.350 0.000 1
Si1 Si 0.138 0.638 0.500 1
Pb1 Pb 0.000 0.000 0.500 1
```

Output
Formation energy (no corrections) = 30 kJ/mol of atoms
Density of states at the Fermi level = 4.38 states/eV/cell
Theoretical density = 6.7 g/cm3
Raw total energy = -3.816 eV/atom
Excess energy over the best structure of this formula in the dataset = 2.87 kcal/mol of atoms
Total moment = 0.00 Bohr magnetons per cell

10.
The following is a DFT calculation (PBE) of a geometry-optimized NaSn3Cl structure.

CIF file:
```
data_NaSn3Cl
_cell_length_a 5.518
_cell_length_b 5.518
_cell_length_c 5.518
_cell_angle_alpha 90.00
_cell_angle_beta 90.00
_cell_angle_gamma 90.00
_symmetry_space_group_name_H-M 'P m -3 m'
_symmetry_Int_Tables_number 221
_symmetry_space_group_name_Hall '-P 4 2 3'
loop_
_atom_site_label
_atom_site_type_symbol
_atom_site_fract_x
_atom_site_fract_y
_atom_site_fract_z
_atom_site_occupancy
Na1 Na 0.000 0.000 0.000 1
Sn1 Sn 0.000 0.000 0.500 1
Cl1 Cl 0.500 0.500 0.500 1
```

Output
Formation energy (no corrections) = 50 kJ/mol of atoms
Density of states at the Fermi level = 5.14 states/eV/cell
Theoretical density = 4.1 g/cm3
Raw total energy = -2.514 eV/atom
Excess energy over the best structure of this formula in the dataset = 6.96 kcal/mol of atoms
Total moment = 0.00 Bohr magnetons per cell